Below is SmTlZnCd after structural relaxation, with properties calculated at the PBE-GGA level.

Output
magnetization: 0.00 μB/f.u.
VASP energy: -40.47 eV per cell
crystal system: cubic
Fermi-level density of states: 0.8 states/eV/f.u.

a = 7.2589 Å, b = 7.2589 Å, c = 7.2589 Å
α = 90.00°, β = 90.00°, γ = 90.00°
With the nearest neighbours (Å) after each atom.
Space group F-43m (No. 216)
One atom of each set of equivalent atoms:
Sm  0.0000  0.0000  0.0000 x4  4 Tl 3.14, 4 Zn 3.14
Tl  0.2500  0.2500  0.2500 x4  4 Cd 3.14, 4 Sm 3.14
Zn  0.2500  0.2500  0.7500 x4  4 Cd 3.14, 4 Sm 3.14
Cd  0.0000  0.0000  0.5000 x4  4 Tl 3.14, 4 Zn 3.14